Entry 1:
MnBeP GGA-PBEsol optimized geometry; formation enthalpy at 0 K = -0.541 eV/atom; calculated volume = 28.18 Å³ per cell
1.0
-2.376 -1.538 -0.143
0.461 -0.956 2.628
-0.868 3.945 0.060
P Mn Be
1 1 1
Direct
0.330 0.330 0.660
0.670 0.670 0.340
0.000 0.000 0.000

***

Entry 2:
MnBe2P GGA-PBEsol optimized geometry; formation enthalpy at 0 K = -0.199 eV/atom; calculated volume = 36.83 Å³ per cell; DOS at the Fermi energy = 0.471 states/eV/atom
1.0
2.990 0.000 0.000
0.000 3.393 0.000
-1.495 -1.696 3.630
P Mn Be
1 1 2
Direct
0.000 0.500 0.000
0.500 0.000 0.000
0.749 0.749 0.498
0.251 0.251 0.502

***

Entry 3:
MnBe2P GGA-PBEsol optimized geometry; formation enthalpy at 0 K = -0.178 eV/atom; calculated volume = 37.27 Å³ per cell; DOS at the Fermi energy = 0.417 states/eV/atom
1.0
-1.574 2.385 -1.714
-2.729 -1.925 -0.172
-1.113 1.322 2.863
P Mn Be
1 1 2
Direct
0.500 0.000 0.000
0.500 0.500 0.500
0.000 0.000 0.500
0.000 0.500 0.000

***

Entry 4:
MnBeP2Ru GGA-PBEsol optimized geometry; formation enthalpy at 0 K = 0.965 eV/atom; calculated volume = 77.37 Å³ per cell; DOS at the Fermi energy = 0.966 states/eV/atom
1.0
-0.854 2.125 -3.440
2.689 -2.327 -2.105
-3.310 -2.931 -0.989
Ru Mn Be P
1 1 1 2
Direct
0.000 0.000 0.500
0.000 0.000 0.000
0.500 0.500 0.500
0.000 0.500 0.000
0.500 0.000 0.000

***

Entry 5:
MnBe2TeP GGA-PBEsol optimized geometry; energy relative to the elements, uncorrected = 1.374 eV per atom; calculated volume = 100.77 Å³ per cell; DOS at the Fermi energy = 0.705 states/eV/atom
1.0
4.489 0.000 0.000
0.000 4.489 0.000
0.000 0.000 5.002
P Te Mn Be
1 1 1 2
Direct
0.500 0.500 0.500
0.000 0.000 0.000
0.000 0.000 0.500
0.000 0.500 0.000
0.500 0.000 0.000

***

Entry 6:
Mn3BePb GGA-PBEsol optimized geometry; formation enthalpy at 0 K = 0.584 eV/atom; calculated volume = 72.68 Å³ per cell; DOS at the Fermi energy = 0.819 states/eV/atom
1.0
-0.922 1.180 3.895
3.549 -1.722 1.362
1.992 3.614 -0.623
Pb Be Mn
1 1 3
Direct
0.500 0.500 0.500
0.000 0.000 0.000
0.000 0.500 0.000
0.000 0.000 0.500
0.500 0.000 0.000

***

Entry 7:
MnBe2Pb GGA-PBEsol optimized geometry; formation enthalpy at 0 K = 0.385 eV/atom; calculated volume = 54.18 Å³ per cell; DOS at the Fermi energy = 0.335 states/eV/atom
1.0
3.692 0.000 0.000
1.846 3.198 0.000
1.846 1.066 4.589
Pb Be Mn
1 2 1
Direct
0.254 0.254 0.239
0.065 0.065 0.806
0.728 0.728 0.817
0.454 0.454 0.639

***

Entry 8:
MnBe2Pb GGA-PBEsol optimized geometry; formation enthalpy at 0 K = 0.448 eV/atom; calculated volume = 55.91 Å³ per cell; DOS at the Fermi energy = 0.507 states/eV/atom
1.0
-2.601 -0.798 -1.187
0.101 -2.570 1.507
-3.138 5.285 3.322
Pb Be Mn
1 2 1
Direct
0.500 0.500 0.000
0.000 0.661 0.660
0.000 0.339 0.340
0.500 0.000 0.500

***

Entry 9:
MnBePb GGA-PBEsol optimized geometry; formation enthalpy at 0 K = 0.651 eV/atom; E above lowest polymorph = 0.0 kJ per mole of atoms; calculated volume = 48.61 Å³ per cell; DOS at the Fermi energy = 0.596 states/eV/atom
1.0
-0.210 -2.293 -2.771
3.035 1.825 -1.741
0.658 -3.022 2.452
Pb Be Mn
1 1 1
Direct
0.305 0.333 0.667
0.914 0.000 0.000
0.781 0.667 0.333

***

Entry 10:
Mn2Be2Pb GGA-PBEsol optimized geometry; formation enthalpy at 0 K = 0.628 eV/atom; calculated volume = 73.14 Å³ per cell; DOS at the Fermi energy = 0.715 states/eV/atom
1.0
-0.295 2.837 -1.144
-2.876 0.135 1.075
4.213 1.469 6.691
Pb Be Mn
1 2 2
Direct
0.000 0.000 0.000
0.250 0.750 0.500
0.750 0.250 0.500
0.370 0.370 0.739
0.630 0.630 0.261

***

Entry 11:
MnBePb GGA-PBEsol optimized geometry; formation enthalpy at 0 K = 0.727 eV/atom; E above lowest polymorph = 7.4 kJ per mole of atoms; calculated volume = 54.41 Å³ per cell; DOS at the Fermi energy = 0.473 states/eV/atom
1.0
4.253 0.000 0.000
2.127 3.683 0.000
2.127 1.228 3.473
Pb Be Mn
1 1 1
Direct
0.000 0.000 0.000
0.500 0.500 0.500
0.750 0.750 0.750

***

Entry 12:
MnBe2Pb GGA-PBEsol optimized geometry; formation enthalpy at 0 K = 0.580 eV/atom; calculated volume = 52.28 Å³ per cell; DOS at the Fermi energy = 0.544 states/eV/atom
1.0
-0.143 3.526 -0.992
-1.108 0.907 3.381
4.325 -1.760 -0.104
Pb Be Mn
1 2 1
Direct
0.000 0.500 0.000
0.750 0.750 0.500
0.250 0.250 0.500
0.500 0.000 0.000

***

Entry 13:
MnBePt3 GGA-PBEsol optimized geometry; formation enthalpy at 0 K = 1.321 eV/atom; calculated volume = 92.72 Å³ per cell; DOS at the Fermi energy = 1.128 states/eV/atom
1.0
-1.883 -4.048 0.747
3.312 -1.977 -2.368
2.444 -0.439 3.784
Be Mn Pt
1 1 3
Direct
0.500 0.500 0.500
0.000 0.000 0.000
0.000 0.500 0.000
0.000 0.000 0.500
0.500 0.000 0.000

***

Entry 14:
MnBePt2 GGA-PBEsol optimized geometry; formation enthalpy at 0 K = -0.317 eV/atom; calculated volume = 51.33 Å³ per cell; DOS at the Fermi energy = 0.570 states/eV/atom
1.0
-1.667 -2.234 -0.429
3.060 -2.531 1.293
-2.168 2.694 3.658
Be Mn Pt
1 1 2
Direct
0.492 0.492 0.983
0.229 0.729 0.458
0.999 0.999 0.998
0.780 0.280 0.561

***

Entry 15:
MnBe2Pt GGA-PBEsol optimized geometry; formation enthalpy at 0 K = -0.356 eV/atom; E above lowest polymorph = 8.6 kJ per mole of atoms; calculated volume = 42.40 Å³ per cell; DOS at the Fermi energy = 0.308 states/eV/atom
1.0
-0.124 -1.571 2.212
-0.586 -2.919 -2.106
4.283 0.113 -1.347
Be Mn Pt
2 1 1
Direct
0.817 0.000 0.635
0.675 0.500 0.350
0.094 0.000 0.189
0.402 0.500 0.804

***

Entry 16:
MnBePt2 GGA-PBEsol optimized geometry; formation enthalpy at 0 K = -0.506 eV/atom; calculated volume = 50.89 Å³ per cell; DOS at the Fermi energy = 0.386 states/eV/atom
1.0
-1.587 -1.650 -1.573
0.866 -2.209 1.444
-5.008 0.794 4.219
Be Mn Pt
1 1 2
Direct
0.500 0.500 0.000
0.500 0.500 0.500
0.000 0.000 0.782
0.000 0.000 0.218

***

Entry 17:
MnBe2Pt GGA-PBEsol optimized geometry; formation enthalpy at 0 K = -0.371 eV/atom; E above lowest polymorph = 7.2 kJ per mole of atoms; calculated volume = 41.64 Å³ per cell; DOS at the Fermi energy = 0.401 states/eV/atom
1.0
2.741 0.000 0.000
0.000 2.741 0.000
0.000 0.000 5.541
Be Mn Pt
2 1 1
Direct
0.000 0.000 0.756
0.000 0.000 0.244
0.500 0.500 0.000
0.500 0.500 0.500

***

Entry 18:
MnBe2Pt GGA-PBEsol optimized geometry; formation enthalpy at 0 K = -0.445 eV/atom; E above lowest polymorph = 0.0 kJ per mole of atoms; calculated volume = 41.95 Å³ per cell; DOS at the Fermi energy = 0.733 states/eV/atom
1.0
-2.552 2.833 0.818
-0.911 0.793 3.708
1.229 3.316 1.643
Be Mn Pt
2 1 1
Direct
0.250 0.250 0.250
0.750 0.750 0.750
0.000 0.000 0.000
0.500 0.500 0.500

***

Entry 19:
MnBePt2 GGA-PBEsol optimized geometry; formation enthalpy at 0 K = -0.390 eV/atom; calculated volume = 52.09 Å³ per cell; DOS at the Fermi energy = 0.416 states/eV/atom
1.0
-0.108 -2.519 2.177
3.917 -0.442 -0.317
0.528 2.550 2.976
Be Mn Pt
1 1 2
Direct
0.500 0.500 0.500
0.500 0.000 0.000
0.000 0.000 0.500
0.000 0.500 0.000

***

Entry 20:
MnBePt2 GGA-PBEsol optimized geometry; formation enthalpy at 0 K = -0.420 eV/atom; calculated volume = 51.70 Å³ per cell; DOS at the Fermi energy = 0.367 states/eV/atom
1.0
3.957 0.000 0.000
-1.979 3.849 -0.007
0.000 2.041 3.391
Be Mn Pt
1 1 2
Direct
0.000 0.000 0.000
0.500 0.000 0.500
0.750 0.500 0.750
0.250 0.500 0.250

***

Entry 21:
MnBePt GGA-PBEsol optimized geometry; formation enthalpy at 0 K = -0.264 eV/atom; calculated volume = 34.96 Å³ per cell; DOS at the Fermi energy = 0.830 states/eV/atom
1.0
-2.711 -0.058 -0.176
0.062 -2.715 -0.062
1.020 1.272 4.845
Be Mn Pt
1 1 1
Direct
0.996 0.996 0.993
0.652 0.652 0.304
0.351 0.351 0.703

***

Entry 22:
MnBe2Pt GGA-PBEsol optimized geometry; formation enthalpy at 0 K = -0.154 eV/atom; E above lowest polymorph = 28.1 kJ per mole of atoms; calculated volume = 44.15 Å³ per cell; DOS at the Fermi energy = 0.711 states/eV/atom
1.0
2.616 0.000 0.000
-1.308 3.813 0.017
0.000 -0.825 4.422
Be Mn Pt
2 1 1
Direct
0.751 0.503 0.742
0.249 0.497 0.258
0.000 0.000 0.500
0.500 0.000 0.000

***

Entry 23:
MnBe2Pt GGA-PBEsol optimized geometry; formation enthalpy at 0 K = -0.256 eV/atom; E above lowest polymorph = 18.3 kJ per mole of atoms; calculated volume = 41.72 Å³ per cell; DOS at the Fermi energy = 0.426 states/eV/atom
1.0
2.702 0.000 0.000
0.000 2.702 0.000
0.000 0.000 5.717
Be Mn Pt
2 1 1
Direct
0.000 0.000 0.028
0.500 0.500 0.228
0.000 0.000 0.458
0.500 0.500 0.785

***

Entry 24:
MnBePt4 GGA-PBEsol optimized geometry; formation enthalpy at 0 K = 0.213 eV/atom; calculated volume = 96.16 Å³ per cell; DOS at the Fermi energy = 0.538 states/eV/atom
1.0
5.143 0.000 0.000
2.571 4.454 0.000
2.571 1.485 4.199
Be Mn Pt
1 1 4
Direct
0.750 0.750 0.750
0.000 0.000 0.000
0.375 0.375 0.375
0.375 0.375 0.874
0.874 0.375 0.375
0.375 0.874 0.375

***

Entry 25:
MnBePtRh2 GGA-PBEsol optimized geometry; formation enthalpy at 0 K = 0.945 eV/atom; calculated volume = 72.40 Å³ per cell; DOS at the Fermi energy = 0.963 states/eV/atom
1.0
3.963 0.000 0.000
0.000 4.274 0.000
0.000 0.000 4.274
Be Mn Rh Pt
1 1 2 1
Direct
0.500 0.000 0.000
0.000 0.000 0.000
0.000 0.000 0.500
0.000 0.500 0.000
0.500 0.500 0.500

***

Entry 26:
RbMn3Be GGA-PBEsol optimized geometry; formation enthalpy at 0 K = 1.260 eV/atom; calculated volume = 92.92 Å³ per cell; DOS at the Fermi energy = 1.059 states/eV/atom
1.0
4.529 0.000 0.000
0.000 4.529 0.000
0.000 0.000 4.529
Be Mn Rb
1 3 1
Direct
0.000 0.000 0.000
0.000 0.500 0.000
0.000 0.000 0.500
0.500 0.000 0.000
0.500 0.500 0.500

***

Entry 27:
Mn2BeRe GGA-PBEsol optimized geometry; formation enthalpy at 0 K = 0.111 eV/atom; calculated volume = 44.10 Å³ per cell; DOS at the Fermi energy = 1.261 states/eV/atom
1.0
3.966 0.000 0.000
1.983 3.434 0.000
1.983 1.145 3.238
Re Mn Be
1 2 1
Direct
0.250 0.250 0.250
0.000 0.000 0.000
0.750 0.750 0.750
0.500 0.500 0.500

***

Entry 28:
Mn2BeRe GGA-PBEsol optimized geometry; formation enthalpy at 0 K = 0.070 eV/atom; calculated volume = 44.40 Å³ per cell; DOS at the Fermi energy = 0.971 states/eV/atom
1.0
2.502 0.000 0.000
0.000 3.945 0.000
-0.899 0.000 4.498
Re Mn Be
1 2 1
Direct
0.500 0.500 0.000
0.721 0.000 0.726
0.279 0.000 0.274
0.000 0.500 0.500

***

Entry 29:
MnBeRe GGA-PBEsol optimized geometry; formation enthalpy at 0 K = 0.192 eV/atom; calculated volume = 35.07 Å³ per cell; DOS at the Fermi energy = 0.636 states/eV/atom
1.0
-0.190 2.555 -0.600
-0.596 -0.830 2.425
5.556 0.798 1.638
Re Mn Be
1 1 1
Direct
0.667 0.333 0.336
0.333 0.667 0.676
0.000 0.000 0.989

***

Entry 30:
Sr2MnBeRe GGA-PBEsol optimized geometry; formation enthalpy at 0 K = 1.301 eV/atom; calculated volume = 149.05 Å³ per cell; DOS at the Fermi energy = 1.016 states/eV/atom
1.0
4.423 0.000 0.000
0.000 5.805 0.000
0.000 0.000 5.805
Re Mn Be Sr
1 1 1 2
Direct
0.000 0.000 0.000
0.500 0.000 0.000
0.500 0.500 0.500
0.000 0.000 0.500
0.000 0.500 0.000

***

Entry 31:
MnBeRu GGA-PBEsol optimized geometry; formation enthalpy at 0 K = -0.168 eV/atom; E above lowest polymorph = 0.0 kJ per mole of atoms; calculated volume = 31.24 Å³ per cell; DOS at the Fermi energy = 0.537 states/eV/atom
1.0
2.726 0.000 0.000
0.000 2.726 0.000
-1.363 -1.363 4.205
Ru Mn Be
1 1 1
Direct
0.665 0.665 0.329
0.342 0.342 0.684
0.994 0.994 0.987